Entry 1:
Cs2FeCl6F | PBE+U | relaxed

```
10
Lattice="-3.554 3.554 5.576 3.554 -3.554 5.576 3.554 3.554 -5.576" Properties=species:S:1:pos:R:3 pbc="T T T"
Cs 3.554 0.000 2.788
Cs 0.000 3.554 2.788
Fe 0.000 0.000 0.000
Cl 0.000 0.000 2.331
Cl 1.684 1.684 0.000
Cl 1.870 -1.870 5.576
Cl -1.870 1.870 5.576
Cl 1.870 1.870 5.576
Cl 0.000 0.000 8.820
F 0.000 0.000 5.576
```

V (A^3/atom): 28.17
N(E_F) (states/eV/atom): 0.18
Energy (eV per atom): -3.163

---

Entry 2:
CsFeClF2 | PBE+U | relaxed

```
5
Lattice="4.506 0.000 0.000 0.000 4.506 0.000 0.000 0.000 4.852" Properties=species:S:1:pos:R:3 pbc="T T T"
Cs 0.000 0.000 0.000
Fe 2.253 2.253 2.426
Cl 2.253 2.253 0.000
F 0.000 2.253 2.426
F 2.253 0.000 2.426
```

V (A^3/atom): 19.70
N(E_F) (states/eV/atom): 0.69
Energy (eV per atom): -4.328